No. 1
{
  "formula": "Tb2GdSn7",
  "functional": "PBE",
  "state": "optimized geometry",
  "energy_ev_per_atom": -4.750,
  "space_group": "Cmmm (65)",
  "lattice": [[2.208, -13.282, 0.000], [2.208, 13.282, 0.000], [0.000, 0.000, 4.470]],
  "species": ["Tb", "Tb", "Gd", "Sn", "Sn", "Sn", "Sn", "Sn", "Sn", "Sn"],
  "fractional_positions": [[0.189, 0.811, 0.000], [0.811, 0.189, 0.000], [0.500, 0.500, 0.500], [0.000, 0.000, 0.000], [0.097, 0.903, 0.500], [0.288, 0.712, 0.500], [0.404, 0.596, 0.000], [0.596, 0.404, 0.000], [0.712, 0.288, 0.500], [0.903, 0.097, 0.500]]
}



No. 2
{
  "formula": "SrBeP2Pd",
  "functional": "PBE",
  "state": "optimized geometry",
  "energy_ev_per_atom": -4.907,
  "space_group": "I-4m2 (119)",
  "lattice": [[-1.946, 1.946, 5.966], [1.946, -1.946, 5.966], [1.946, 1.946, -5.966]],
  "species": ["Sr", "Be", "P", "P", "Pd"],
  "fractional_positions": [[0.000, 0.000, 0.000], [0.750, 0.250, 0.500], [0.364, 0.364, 0.000], [0.636, 0.636, 0.000], [0.250, 0.750, 0.500]]
}



No. 3
{
  "formula": "NaSmHgSe3",
  "functional": "PBE",
  "state": "optimized geometry",
  "energy_ev_per_atom": -3.900,
  "space_group": "P2_1/m (11)",
  "relative_energy_kj_per_mol_atoms": 0.9,
  "lattice": [[8.103, 0.000, 0.000], [0.000, 4.212, 0.000], [-2.492, 0.000, 9.842]],
  "species": ["Na", "Na", "Sm", "Sm", "Hg", "Hg", "Se", "Se", "Se", "Se", "Se", "Se"],
  "fractional_positions": [[0.240, 0.250, 0.256], [0.760, 0.750, 0.744], [0.311, 0.750, 0.862], [0.689, 0.250, 0.138], [0.095, 0.250, 0.608], [0.905, 0.750, 0.392], [0.052, 0.250, 0.857], [0.269, 0.750, 0.544], [0.444, 0.750, 0.152], [0.556, 0.250, 0.848], [0.731, 0.250, 0.456], [0.948, 0.750, 0.143]]
}



No. 4
{
  "formula": "LiCoBiMo",
  "functional": "PBE",
  "state": "optimized geometry",
  "energy_ev_per_atom": -5.388,
  "space_group": "F-43m (216)",
  "relative_energy_kj_per_mol_atoms": 15.9,
  "lattice": [[0.000, 3.176, 3.176], [3.176, 0.000, 3.176], [3.176, 3.176, 0.000]],
  "species": ["Li", "Co", "Bi", "Mo"],
  "fractional_positions": [[0.000, 0.000, 0.000], [0.750, 0.750, 0.750], [0.500, 0.500, 0.500], [0.250, 0.250, 0.250]]
}



What did the second record say?
{
  "formula": "SrBeP2Pd",
  "functional": "PBE",
  "state": "optimized geometry",
  "energy_ev_per_atom": -4.907,
  "space_group": "I-4m2 (119)",
  "lattice": [[-1.946, 1.946, 5.966], [1.946, -1.946, 5.966], [1.946, 1.946, -5.966]],
  "species": ["Sr", "Be", "P", "P", "Pd"],
  "fractional_positions": [[0.000, 0.000, 0.000], [0.750, 0.250, 0.500], [0.364, 0.364, 0.000], [0.636, 0.636, 0.000], [0.250, 0.750, 0.500]]
}



Q: What is the formula in the fourth record?
A: LiCoBiMo